1.
Compound: LaPb4
Source: Alexandria
Functional: PBE
Structure: optimized geometry

Lattice parameters (Å, degrees): 6.063 6.063 6.063 90.00 90.00 90.00
Atoms (fractional coordinates):
La  0.000  0.000  0.000
Pb  0.000  0.000  0.500
Pb  0.000  0.500  0.000
Pb  0.500  0.000  0.000
Pb  0.500  0.500  0.500

Values from the calculation:
Fermi-level density of states   6.4 states/eV/cell
Energy relative to the elements   54 kJ/mol of atoms
Uncorrected energy   -3.389 eV/atom

---

2.
Compound: B2C
Source: Alexandria
Functional: PBE
Structure: optimized geometry

Lattice parameters (Å, degrees): 4.211 2.592 7.912 90.00 93.51 90.00
Atoms (fractional coordinates):
B  0.071  0.000  0.110
B  0.333  0.500  0.433
B  0.355  0.500  0.724
B  0.360  0.500  0.070
B  0.640  0.500  0.930
B  0.645  0.500  0.276
B  0.667  0.500  0.567
B  0.929  0.000  0.890
C  0.092  0.000  0.421
C  0.130  0.000  0.735
C  0.870  0.000  0.265
C  0.908  0.000  0.579

Values from the calculation:
Fermi-level density of states   3.0 states/eV/cell
Energy relative to the elements   46 kJ/mol of atoms
Uncorrected energy   -7.052 eV/atom

---

3.
Compound: BaBeTl2
Source: Alexandria
Functional: PBE
Structure: optimized geometry

Lattice parameters (Å, degrees): 6.042 6.042 6.042 141.14 116.08 77.39
Atoms (fractional coordinates):
Ba  0.000  0.000  0.000
Be  0.500  0.500  0.000
Tl  0.311  0.811  0.500
Tl  0.689  0.189  0.500

Values from the calculation:
Fermi-level density of states   2.6 states/eV/cell
Energy relative to the elements   15 kJ/mol of atoms
Uncorrected energy   -2.436 eV/atom

---

4.
Compound: Tb4SiBiTe2
Source: Alexandria
Functional: PBE
Structure: optimized geometry

Lattice parameters (Å, degrees): 7.569 4.336 7.585 90.00 109.20 90.00
Atoms (fractional coordinates):
Tb  0.225  0.000  0.226
Tb  0.233  0.500  0.764
Tb  0.767  0.500  0.236
Tb  0.775  0.000  0.774
Si  0.000  0.500  0.000
Bi  0.000  0.000  0.500
Te  0.500  0.000  0.000
Te  0.500  0.500  0.500

Values from the calculation:
Uncorrected formation energy   -1.13 eV/atom
Fermi-level density of states   1.7 states/eV/cell
Uncorrected energy   -5.390 eV/atom

---

5.
Compound: Mn2AgOs
Source: Alexandria
Functional: PBE
Structure: optimized geometry

Lattice parameters (Å, degrees): 2.666 2.666 9.038 90.00 90.00 115.90
Atoms (fractional coordinates):
Mn  0.000  0.000  0.000
Mn  0.500  0.500  0.226
Ag  0.500  0.500  0.736
Os  0.000  0.000  0.452

Values from the calculation:
Fermi-level density of states   4.7 states/eV/cell
Energy relative to the elements   44 kJ/mol of atoms
Uncorrected energy   -7.646 eV/atom